Entry 1:
TbVAs3: optimized geometry, PBE-GGA.

```
20
Lattice="12.1877 0.0000 0.0000 0.0000 5.7254 0.0000 0.0000 0.0000 5.5467" Properties=species:S:1:pos:R:3 pbc="T T T"
Tb 2.2632 0.0218 1.3867
Tb 2.2632 2.8409 4.1600
Tb 9.9245 2.8845 1.3867
Tb 9.9245 5.7036 4.1600
V 5.0307 4.2941 0.0000
V 5.0307 4.2941 2.7733
V 7.1570 1.4314 0.0000
V 7.1570 1.4314 2.7733
As 0.0145 4.2941 0.0000
As 0.0145 4.2941 2.7733
As 3.4267 2.8732 1.3867
As 3.4267 5.7149 4.1600
As 5.1937 0.6474 1.3867
As 5.1937 2.2153 4.1600
As 6.9939 3.5101 1.3867
As 6.9939 5.0780 4.1600
As 8.7609 0.0105 1.3867
As 8.7609 2.8522 4.1600
As 12.1732 1.4314 0.0000
As 12.1732 1.4314 2.7733
```

- DFT total energy: -126.58 eV per cell
- ρ: 7.46 g cm⁻³
- Space group: Pbcm, No. 57
- Total magnetization: 0.000 μB per atom
- Energy relative to the elements: -18.20 kcal/mol of atoms

---

Entry 2:
Tb2VAs: optimized geometry, PBE-GGA.

```
12
Lattice="3.7568 0.0000 0.0000 -1.8784 3.2535 0.0000 0.0000 0.0000 28.0670" Properties=species:S:1:pos:R:3 pbc="T T T"
Tb 0.0000 0.0000 2.9120
Tb 0.0000 0.0000 25.1551
Tb 0.0000 2.1690 15.7994
Tb 0.0000 2.1690 21.6233
Tb 1.8784 1.0845 6.4437
Tb 1.8784 1.0845 12.2677
V 0.0000 0.0000 0.0000
V 0.0000 2.1690 18.7114
V 1.8784 1.0845 9.3557
As 0.0000 0.0000 14.0335
As 0.0000 2.1690 4.6779
As 1.8784 1.0845 23.3892
```

- DFT total energy: -67.44 eV per cell
- ρ: 6.44 g cm⁻³
- Space group: R-3m, No. 166
- Total magnetization: 0.842 μB per atom
- Energy relative to the elements: 3.15 kcal/mol of atoms

---

Entry 3:
TbY2As3: optimized geometry, PBE-GGA.

```
12
Lattice="4.1319 0.0000 0.0000 0.0000 5.8373 0.0000 0.0000 0.0000 12.3833" Properties=species:S:1:pos:R:3 pbc="T T T"
Tb 0.0000 0.0000 0.0000
Tb 2.0659 2.9187 6.1917
Y 0.0000 0.0000 4.1284
Y 0.0000 0.0000 8.2549
Y 2.0659 2.9187 2.0632
Y 2.0659 2.9187 10.3201
As 0.0000 2.9187 0.0000
As 0.0000 2.9187 4.1243
As 0.0000 2.9187 8.2590
As 2.0659 0.0000 2.0673
As 2.0659 0.0000 6.1917
As 2.0659 0.0000 10.3160
```

- DFT total energy: -81.65 eV per cell
- ρ: 6.24 g cm⁻³
- Space group: Immm, No. 71
- Total magnetization: 0.000 μB per atom
- Energy relative to the elements: -35.81 kcal/mol of atoms

---

Entry 4:
Tb5YAs6: optimized geometry, PBE-GGA.

```
12
Lattice="3.5837 -6.2042 0.0000 3.5837 6.2042 0.0000 -2.3891 0.0000 6.7537" Properties=species:S:1:pos:R:3 pbc="T T T"
Tb 0.0000 0.0000 0.0000
Tb 2.3892 4.1363 3.3768
Tb 3.5837 2.0691 0.0000
Tb 3.5837 -2.0691 0.0000
Tb 2.3892 -4.1363 3.3768
Y 2.3892 0.0000 3.3768
As 1.1955 2.0663 1.6898
As 0.0023 0.0000 5.0641
As 1.1955 -2.0663 1.6898
As 3.5828 2.0663 5.0639
As 4.7760 0.0000 1.6896
As 3.5828 -2.0663 5.0639
```

- DFT total energy: -76.05 eV per cell
- ρ: 7.37 g cm⁻³
- Space group: C2/m, No. 12
- Total magnetization: 0.000 μB per atom
- Energy relative to the elements: -35.63 kcal/mol of atoms

---

Entry 5:
TbYAs: optimized geometry, PBE-GGA.

```
18
Lattice="6.1701 3.5623 3.8217 -6.1701 3.5623 3.8217 0.0000 -7.1246 3.8217" Properties=species:S:1:pos:R:3 pbc="T T T"
Tb -1.4958 -1.5181 4.3594
Tb -0.5668 2.0544 4.3594
Tb -2.0626 0.5363 7.1057
Tb 2.0626 -0.5363 4.3594
Tb 0.5668 -2.0544 7.1057
Tb 1.4958 1.5181 7.1057
Y -3.9053 -3.8617 6.3303
Y -5.2970 1.4512 5.1348
Y 1.3917 -5.3129 5.1348
Y -1.3917 5.3129 6.3303
Y 5.2970 -1.4512 6.3303
Y 3.9053 3.8617 5.1348
As -4.1548 -1.0733 5.9866
As -1.1479 -4.1348 5.4786
As -3.0069 3.0615 5.4786
As 3.0069 -3.0615 5.9866
As 1.1479 4.1348 5.9866
As 4.1548 1.0733 5.4786
```

- DFT total energy: -109.86 eV per cell
- ρ: 6.38 g cm⁻³
- Space group: R-3, No. 148
- Total magnetization: 0.000 μB per atom
- Energy relative to the elements: -19.72 kcal/mol of atoms

---

Entry 6:
Tb2YAs3: optimized geometry, PBE-GGA.

```
12
Lattice="4.1380 0.0000 0.0000 0.0000 5.8445 0.0000 0.0000 0.0000 12.3950" Properties=species:S:1:pos:R:3 pbc="T T T"
Tb 0.0000 0.0000 2.0666
Tb 0.0000 0.0000 10.3284
Tb 2.0690 2.9222 4.1309
Tb 2.0690 2.9222 8.2641
Y 0.0000 0.0000 6.1975
Y 2.0690 2.9222 0.0000
As 0.0000 2.9222 2.0618
As 0.0000 2.9222 6.1975
As 0.0000 2.9222 10.3332
As 2.0690 0.0000 0.0000
As 2.0690 0.0000 4.1357
As 2.0690 0.0000 8.2593
```

- DFT total energy: -77.92 eV per cell
- ρ: 7.00 g cm⁻³
- Space group: Immm, No. 71
- Total magnetization: 0.000 μB per atom
- Energy relative to the elements: -35.69 kcal/mol of atoms

---

Entry 7:
TbYAs: optimized geometry, PBE-GGA.

```
3
Lattice="3.9988 0.0000 0.0000 -1.9994 3.4630 0.0000 0.0000 0.0000 6.4458" Properties=species:S:1:pos:R:3 pbc="T T T"
Tb 0.0000 0.0000 0.0000
Y 1.9994 1.1543 3.1189
As 0.0000 2.3087 4.7783
```

- DFT total energy: -18.39 eV per cell
- ρ: 6.00 g cm⁻³
- Space group: P3m1, No. 156
- Total magnetization: 0.004 μB per atom
- Energy relative to the elements: -20.36 kcal/mol of atoms

---

Entry 8:
Tb2YAs: optimized geometry, PBE-GGA.

```
12
Lattice="3.8717 0.0000 0.0000 -1.9358 3.3530 0.0000 0.0000 0.0000 28.4579" Properties=species:S:1:pos:R:3 pbc="T T T"
Tb 0.0000 0.0000 6.4861
Tb 0.0000 0.0000 21.9718
Tb 0.0000 2.2353 12.4858
Tb 0.0000 2.2353 25.4580
Tb 1.9358 1.1177 2.9999
Tb 1.9358 1.1177 15.9721
Y 0.0000 0.0000 0.0000
Y 0.0000 2.2353 18.9719
Y 1.9358 1.1177 9.4860
As 0.0000 0.0000 14.2289
As 0.0000 2.2353 4.7430
As 1.9358 1.1177 23.7149
```

- DFT total energy: -68.27 eV per cell
- ρ: 6.50 g cm⁻³
- Space group: R-3m, No. 166
- Total magnetization: 0.219 μB per atom
- Energy relative to the elements: -13.74 kcal/mol of atoms

---

Entry 9:
TbY2ZrAs4: optimized geometry, PBE-GGA.

```
8
Lattice="7.0208 0.0000 0.0000 0.0000 4.0521 0.0000 -2.3200 0.0000 6.6273" Properties=species:S:1:pos:R:3 pbc="T T T"
Tb 0.0000 0.0000 0.0000
Y 2.3504 0.0000 3.3136
Y 3.5104 2.0260 0.0000
Zr -1.1600 2.0260 3.3136
As -0.0301 0.0000 4.9017
As 1.1256 2.0260 1.6969
As 3.5752 2.0260 4.9304
As 4.7309 0.0000 1.7255
```

- DFT total energy: -56.22 eV per cell
- ρ: 6.41 g cm⁻³
- Space group: P2/m, No. 10
- Total magnetization: 0.000 μB per atom
- Energy relative to the elements: -33.18 kcal/mol of atoms

---

Entry 10:
Tb2ZnAs: optimized geometry, PBE-GGA.

```
12
Lattice="3.9024 0.0000 0.0000 -1.9512 3.3795 0.0000 0.0000 0.0000 28.4847" Properties=species:S:1:pos:R:3 pbc="T T T"
Tb 0.0000 0.0000 3.0600
Tb 0.0000 0.0000 25.4246
Tb 0.0000 2.2530 15.9298
Tb 0.0000 2.2530 22.0498
Tb 1.9512 1.1265 6.4349
Tb 1.9512 1.1265 12.5549
Zn 0.0000 0.0000 0.0000
Zn 0.0000 2.2530 18.9898
Zn 1.9512 1.1265 9.4949
As 0.0000 0.0000 14.2423
As 0.0000 2.2530 4.7475
As 1.9512 1.1265 23.7372
```

- DFT total energy: -49.87 eV per cell
- ρ: 6.08 g cm⁻³
- Space group: R-3m, No. 166
- Total magnetization: 0.103 μB per atom
- Energy relative to the elements: -8.30 kcal/mol of atoms

---

Entry 11:
Tb2ZnAs: optimized geometry, PBE-GGA.

```
12
Lattice="4.0551 0.0000 0.0000 -2.0275 3.5118 0.0000 0.0000 0.0000 21.9449" Properties=species:S:1:pos:R:3 pbc="T T T"
Tb 0.0000 0.0000 0.0000
Tb 0.0000 0.0000 4.0460
Tb 0.0000 2.3412 14.6299
Tb 0.0000 2.3412 18.6759
Tb 2.0275 1.1706 7.3150
Tb 2.0275 1.1706 11.3609
Zn 0.0000 0.0000 16.6798
Zn 0.0000 2.3412 9.3649
Zn 2.0275 1.1706 2.0499
As 0.0000 0.0000 12.9977
As 0.0000 2.3412 5.6828
As 2.0275 1.1706 20.3127
```

- DFT total energy: -54.41 eV per cell
- ρ: 7.30 g cm⁻³
- Space group: R3m, No. 160
- Total magnetization: 0.000 μB per atom
- Energy relative to the elements: -17.02 kcal/mol of atoms

---

Entry 12:
Tb4ZrAs5: optimized geometry, PBE-GGA.

```
10
Lattice="-4.5541 4.5541 2.8864 4.5541 -4.5541 2.8864 4.5541 4.5541 -2.8864" Properties=species:S:1:pos:R:3 pbc="T T T"
Tb 2.7371 0.8838 0.0000
Tb 3.6704 -1.8170 2.8864
Tb 0.8838 6.3711 0.0000
Tb 1.8170 3.6704 2.8864
Zr 0.0000 0.0000 2.8864
As 0.0000 0.0000 0.0000
As 5.4447 1.9027 0.0000
As 1.9027 3.6635 0.0000
As 2.6514 0.8906 2.8864
As -0.8906 2.6514 2.8864
```

- DFT total energy: -64.82 eV per cell
- ρ: 7.64 g cm⁻³
- Space group: I4/m, No. 87
- Total magnetization: 0.000 μB per atom
- Energy relative to the elements: -33.44 kcal/mol of atoms

---

Among the records above, which one has the highest total magnetization?
Tb2VAs

---

Which of these has the lowest DFT total energy?
TbVAs3

---

Look up the energy relative to the elements of the first one.
-18.20 kcal/mol of atoms